# NdSm4Er2 (PBE, relaxed)
data_NdSm4Er2
_cell_length_a 11.951
_cell_length_b 24.186
_cell_length_c 6.452
_cell_angle_alpha 90.00
_cell_angle_beta 90.00
_cell_angle_gamma 90.00
_space_group_name_H-M_alt 'F d d 2'
_space_group_IT_number 43
_space_group_name_Hall 'F 2 -2d'
loop_
_atom_site_label
_atom_site_type_symbol
_atom_site_fract_x
_atom_site_fract_y
_atom_site_fract_z
_atom_site_occupancy
Nd1 Nd 0.000 0.000 0.000 1
Sm1 Sm 0.051 0.071 0.514 1
Sm2 Sm 0.065 0.143 0.041 1
Er1 Er 0.027 0.216 0.566 1
# total DFT energy (no corrections): -4.625 eV per atom
# ρ: 7.695 Mg/m³
# energy relative to the lowest polymorph listed for this composition: 0 meV per atom
# energy relative to the elements: 57 meV/atom
# magnetic moment: 0.00 Bohr magnetons per cell